No. 1
VASP calculation (PBE-GGA) on crystalline Mg3P2Pd2Rh5 at its relaxed geometry.

The calculation puts the calculated density at 7.60 Mg/m³. The value obtained for the volume is 15.71 Å³/atom. The calculation puts the calculated formation energy at -0.53 eV/atom.

The structure belongs to space group I4/mmm (No. 139); the cell edges are 3.9007, 3.9007 and 24.7747 Å and the angles 90.00°, 90.00° and 90.00°. The asymmetric unit holds Mg at (0.0000, 0.0000, 0.0000), Mg at (0.0000, 0.0000, 0.1670), P at (0.0000, 0.0000, 0.3688), Pd at (0.0000, 0.0000, 0.2767), Rh at (0.0000, 0.0000, 0.5000) and Rh at (0.0000, 0.5000, 0.0809).

No. 2
VASP calculation (PBE-GGA) on crystalline YGa4Cu6 at its relaxed geometry.

The calculation puts the calculated density at 7.46 Mg/m³. The value obtained for the volume is 15.15 Å³/atom. The calculation puts the calculated formation energy at -0.24 eV/atom.

The structure belongs to space group P-6m2 (No. 187); the cell edges are 6.9051, 6.9051 and 4.0363 Å and the angles 90.00°, 90.00° and 120.00°. The asymmetric unit holds Y at (0.0000, 0.0000, 0.0000), Ga at (0.3333, 0.6667, 0.0000), Ga at (0.3903, 0.1952, 0.5000), Cu at (0.2092, 0.4184, 0.5000) and Cu at (0.5400, 0.0800, 0.0000).